1.
# ThRh

ThRh after structural relaxation (PBE, Alexandria).

a = 3.921 Å, b = 4.150 Å, c = 6.052 Å
α = 90.00°, β = 108.15°, γ = 90.00°
Space group P2_1/m (No. 11)
Asymmetric unit:
Th 0.138 0.250 0.272 (multiplicity 2)
Rh 0.397 0.250 0.801 (multiplicity 2)

Calculated values
The value obtained for the density of states at the Fermi level is 0.6169 states/eV per atom. Its total magnetization is 0.00 μB per cell. Its electronic total energy is -33.4 eV for the cell shown.

2.
# La6FePt2Br3

La6FePt2Br3 after structural relaxation (PBE, Alexandria).

a = 7.293 Å, b = 12.654 Å, c = 8.239 Å
α = 90.00°, β = 107.08°, γ = 90.00°
Space group C2/m (No. 12)
Asymmetric unit:
La 0.222 0.157 0.196 (multiplicity 8)
La 0.248 0.000 0.805 (multiplicity 4)
Fe 0.000 0.000 0.000 (multiplicity 2)
Pt 0.000 0.333 0.000 (multiplicity 4)
Br 0.000 0.163 0.500 (multiplicity 4)
Br 0.000 0.500 0.500 (multiplicity 2)

Calculated values
Its formation energy from raw total energies is -1.14 eV/atom. The value obtained for the density of states at the Fermi level is 0.5172 states/eV per atom. Its total magnetization is 0.00 μB per cell. Its electronic total energy is -137.6 eV for the cell shown.

3.
# CrTcW4

CrTcW4 after structural relaxation (PBE, Alexandria).

a = 7.375 Å, b = 7.375 Å, c = 7.375 Å
α = 90.00°, β = 90.00°, γ = 90.00°
Space group F-43m (No. 216)
Asymmetric unit:
Cr 0.000 0.000 0.000 (multiplicity 4)
Tc 0.250 0.250 0.750 (multiplicity 4)
W 0.125 0.125 0.375 (multiplicity 16)

Calculated values
The value obtained for the density of states at the Fermi level is 0.9146 states/eV per atom. Its total magnetization is 13.82 μB per cell. Its electronic total energy is -274.7 eV for the cell shown.

4.
# MgZnOsRu

MgZnOsRu after structural relaxation (PBE, Alexandria).

a = 6.160 Å, b = 6.160 Å, c = 6.160 Å
α = 90.00°, β = 90.00°, γ = 90.00°
Space group F-43m (No. 216)
Asymmetric unit:
Mg 0.000 0.000 0.000 (multiplicity 4)
Zn 0.250 0.250 0.750 (multiplicity 4)
Os 0.000 0.000 0.500 (multiplicity 4)
Ru 0.250 0.250 0.250 (multiplicity 4)

Calculated values
The value obtained for the density of states at the Fermi level is 0.9217 states/eV per atom. Its total magnetization is 0.00 μB per cell. Its electronic total energy is -91.3 eV for the cell shown.

5.
# HfPbO2

HfPbO2 after structural relaxation (PBE, Alexandria).

a = 6.087 Å, b = 6.087 Å, c = 9.525 Å
α = 90.00°, β = 90.00°, γ = 90.00°
Space group I-42d (No. 122)
Asymmetric unit:
Hf 0.000 0.000 0.000 (multiplicity 4)
Pb 0.000 0.000 0.500 (multiplicity 4)
O 0.044 0.250 0.125 (multiplicity 8)

Calculated values
Its formation energy from raw total energies is -2.13 eV/atom. The value obtained for the density of states at the Fermi level is 0.1950 states/eV per atom. Its total magnetization is 0.00 μB per cell. Its electronic total energy is -128.4 eV for the cell shown.

6.
# Y2VSi2

Y2VSi2 after structural relaxation (PBE, Alexandria).

a = 6.949 Å, b = 6.949 Å, c = 4.250 Å
α = 90.00°, β = 90.00°, γ = 90.00°
Space group P4/mbm (No. 127)
Asymmetric unit:
Y 0.177 0.323 0.000 (multiplicity 4)
V 0.000 0.000 0.500 (multiplicity 2)
Si 0.124 0.624 0.500 (multiplicity 4)

Calculated values
Its formation energy from raw total energies is -0.59 eV/atom. The value obtained for the density of states at the Fermi level is 0.5219 states/eV per atom. Its total magnetization is 5.16 μB per cell. Its electronic total energy is -71.7 eV for the cell shown.

7.
# CaHRu

CaHRu after structural relaxation (PBE, Alexandria).

a = 4.187 Å, b = 11.945 Å, c = 4.246 Å
α = 90.00°, β = 90.00°, γ = 90.00°
Space group Cmc2_1 (No. 36)
Asymmetric unit:
Ca 0.000 0.137 0.000 (multiplicity 4)
H 0.000 0.319 0.158 (multiplicity 4)
Ru 0.000 0.455 0.028 (multiplicity 4)

Calculated values
The value obtained for the density of states at the Fermi level is 0.5885 states/eV per atom. Its total magnetization is 0.00 μB per cell. Its electronic total energy is -59.4 eV for the cell shown. Its energy above the most stable polymorph in this dataset is 53 meV per atom.

8.
# LiB4C4

LiB4C4 after structural relaxation (PBE, Alexandria).

a = 2.708 Å, b = 16.314 Å, c = 4.583 Å
α = 90.00°, β = 90.00°, γ = 90.00°
Space group Pmn2_1 (No. 31)
Asymmetric unit:
Li 0.000 0.111 0.000 (multiplicity 2)
B 0.000 0.009 0.365 (multiplicity 2)
B 0.000 0.216 0.638 (multiplicity 2)
B 0.000 0.507 0.312 (multiplicity 2)
B 0.000 0.766 0.638 (multiplicity 2)
C 0.000 0.233 0.301 (multiplicity 2)
C 0.000 0.494 0.652 (multiplicity 2)
C 0.000 0.785 0.302 (multiplicity 2)
C 0.000 0.991 0.704 (multiplicity 2)

Calculated values
The value obtained for the density of states at the Fermi level is 0.2303 states/eV per atom. Its total magnetization is 0.00 μB per cell. Its electronic total energy is -126.8 eV for the cell shown. Its energy above the most stable polymorph in this dataset is 147 meV per atom.

9.
# HAuI

HAuI after structural relaxation (PBE, Alexandria).

a = 7.199 Å, b = 3.811 Å, c = 11.384 Å
α = 90.00°, β = 107.27°, γ = 90.00°
Space group C2/m (No. 12)
Asymmetric unit:
H 0.244 0.000 0.320 (multiplicity 4)
Au 0.196 0.500 0.071 (multiplicity 4)
I 0.245 0.500 0.326 (multiplicity 4)

Calculated values
The value obtained for the density of states at the Fermi level is 0.2963 states/eV per atom. Its total magnetization is 0.00 μB per cell. Its electronic total energy is -28.2 eV for the cell shown. Its energy above the most stable polymorph in this dataset is 383 meV per atom.

10.
# Zr2TiInC

Zr2TiInC after structural relaxation (PBE, Alexandria).

a = 4.604 Å, b = 4.604 Å, c = 4.249 Å
α = 90.00°, β = 90.00°, γ = 90.00°
Space group P4/mmm (No. 123)
Asymmetric unit:
Zr 0.000 0.500 0.000 (multiplicity 2)
Ti 0.000 0.000 0.500 (multiplicity 1)
In 0.500 0.500 0.500 (multiplicity 1)
C 0.000 0.000 0.000 (multiplicity 1)

Calculated values
The value obtained for the density of states at the Fermi level is 0.6890 states/eV per atom. Its total magnetization is 0.48 μB per cell. Its electronic total energy is -39.6 eV for the cell shown.

11.
# Ca2AcAl2

Ca2AcAl2 after structural relaxation (PBE, Alexandria).

a = 4.485 Å, b = 5.117 Å, c = 28.054 Å
α = 90.00°, β = 90.00°, γ = 90.00°
Space group Imma (No. 74)
Asymmetric unit:
Ca 0.000 0.250 0.053 (multiplicity 4)
Ca 0.000 0.250 0.564 (multiplicity 4)
Ac 0.000 0.250 0.815 (multiplicity 4)
Al 0.000 0.250 0.274 (multiplicity 4)
Al 0.000 0.250 0.366 (multiplicity 4)

Calculated values
The value obtained for the density of states at the Fermi level is 1.0568 states/eV per atom. Its total magnetization is 0.00 μB per cell. Its electronic total energy is -65.4 eV for the cell shown. Its energy above the most stable polymorph in this dataset is 3 meV per atom.

12.
# AsOsCl2

AsOsCl2 after structural relaxation (PBE, Alexandria).

a = 5.858 Å, b = 8.304 Å, c = 2.863 Å
α = 90.00°, β = 90.00°, γ = 90.00°
Space group Cmmm (No. 65)
Asymmetric unit:
As 0.000 0.000 0.000 (multiplicity 2)
Os 0.000 0.500 0.000 (multiplicity 2)
Cl 0.250 0.250 0.500 (multiplicity 4)

Calculated values
Its formation energy from raw total energies is 1.24 eV/atom. The value obtained for the density of states at the Fermi level is 1.0376 states/eV per atom. Its total magnetization is 1.54 μB per cell. Its electronic total energy is -29.2 eV for the cell shown. Its energy above the most stable polymorph in this dataset is 1313 meV per atom.